# 1
# PuBiS | Alexandria via LeMat-Bulk | PBE | relaxed
# Energy = -49.64 eV per cell
# Polymorph energy (0 for the lowest one) = 74 meV per atom
# Formation energy from raw total energies = -826 meV per atom
data_PuBiS
_cell_length_a 3.630
_cell_length_b 3.630
_cell_length_c 12.164
_cell_angle_alpha 90.00
_cell_angle_beta 90.00
_cell_angle_gamma 90.00
_space_group_name_H-M_alt 'I 4 m m'
_space_group_IT_number 107
_space_group_name_Hall 'I 4 -2'
loop_
_atom_site_label
_atom_site_type_symbol
_atom_site_fract_x
_atom_site_fract_y
_atom_site_fract_z
Pu1 Pu 0.000 0.000 0.000
Bi1 Bi 0.000 0.000 0.294
S1 S 0.000 0.000 0.574

# 2
# PuBiS3 | Alexandria via LeMat-Bulk | PBE | relaxed
# Energy = -141.53 eV per cell
# Polymorph energy (0 for the lowest one) = 0 meV per atom
# Formation energy from raw total energies = -958 meV per atom
data_PuBiS3
_cell_length_a 7.365
_cell_length_b 4.048
_cell_length_c 15.943
_cell_angle_alpha 90.00
_cell_angle_beta 90.00
_cell_angle_gamma 90.00
_space_group_name_H-M_alt 'P n m a'
_space_group_IT_number 62
_space_group_name_Hall '-P 2ac 2n'
loop_
_atom_site_label
_atom_site_type_symbol
_atom_site_fract_x
_atom_site_fract_y
_atom_site_fract_z
Pu1 Pu 0.237 0.250 0.041
Bi1 Bi 0.202 0.750 0.306
S1 S 0.013 0.750 0.098
S2 S 0.126 0.250 0.441
S3 S 0.144 0.750 0.714

# 3
# PuTl2BiS4 | Alexandria via LeMat-Bulk | PBE | relaxed
# Energy = -45.86 eV per cell
# Formation energy from raw total energies = -801 meV per atom
data_PuTl2BiS4
_cell_length_a 7.160
_cell_length_b 4.122
_cell_length_c 7.822
_cell_angle_alpha 90.00
_cell_angle_beta 107.71
_cell_angle_gamma 90.00
_space_group_name_H-M_alt 'P 1 2/m 1'
_space_group_IT_number 10
_space_group_name_Hall '-P 2y'
loop_
_atom_site_label
_atom_site_type_symbol
_atom_site_fract_x
_atom_site_fract_y
_atom_site_fract_z
Pu1 Pu 0.000 0.000 0.000
Tl1 Tl 0.000 0.500 0.500
Tl2 Tl 0.500 0.000 0.500
Bi1 Bi 0.500 0.500 0.000
S1 S 0.225 0.500 0.199
S2 S 0.259 0.000 0.794